1.
DFT (GGA-PBEsol) results for NiB2RuPt after structural relaxation.

abc: 3.894 3.894 4.743
angles: 90.00 90.00 90.00
Atoms (fractional coordinates):
Ni 0.000 0.000 0.000
B 0.000 0.500 0.500
B 0.500 0.000 0.500
Ru 0.500 0.500 0.000
Pt 0.000 0.000 0.500

Total energy (eV per atom): -6.072
ΔE_f (meV per atom): 1394
DOS at the Fermi energy (states/eV/f.u.): 6.25
Density (g/cm3): 8.69

2.
DFT (GGA-PBEsol) results for InHg2Cl after structural relaxation.

abc: 3.503 3.503 29.845
angles: 90.00 90.00 120.00
Atoms (fractional coordinates):
In 0.000 0.000 0.000
In 0.333 0.667 0.667
In 0.667 0.333 0.333
Hg 0.000 0.000 0.509
Hg 0.000 0.000 0.756
Hg 0.333 0.667 0.175
Hg 0.333 0.667 0.423
Hg 0.667 0.333 0.089
Hg 0.667 0.333 0.842
Cl 0.000 0.000 0.270
Cl 0.333 0.667 0.937
Cl 0.667 0.333 0.604

Total energy (eV per atom): -1.780
Formation energy without anion corrections (eV/atom): -0.25
Offset from the most stable computed form (eV per atom): 0.0749
DOS at the Fermi energy (states/eV/f.u.): 1.21
Density (g/cm3): 8.66

3.
DFT (GGA-PBEsol) results for FeTeSe2 after structural relaxation.

abc: 2.930 2.930 9.508
angles: 90.00 90.00 90.00
Atoms (fractional coordinates):
Fe 0.000 0.000 0.000
Te 0.000 0.000 0.500
Se 0.500 0.500 0.157
Se 0.500 0.500 0.843

Total energy (eV per atom): -4.999
Formation energy without anion corrections (eV/atom): 0.05
DOS at the Fermi energy (states/eV/f.u.): 3.08
Density (g/cm3): 6.94

4.
DFT (GGA-PBEsol) results for LiBeFe2 after structural relaxation.

abc: 8.026 2.359 4.341
angles: 90.00 97.12 90.00
Atoms (fractional coordinates):
Li 0.000 0.000 0.000
Li 0.500 0.500 0.000
Be 0.246 0.000 0.756
Be 0.746 0.500 0.756
Fe 0.012 0.500 0.507
Fe 0.259 0.500 0.278
Fe 0.512 0.000 0.507
Fe 0.759 0.000 0.278

Total energy (eV per atom): -5.779
ΔE_f (meV per atom): 194
DOS at the Fermi energy (states/eV/f.u.): 3.27
Density (g/cm3): 5.20

5.
DFT (GGA-PBEsol) results for LiZnIr2 after structural relaxation.

abc: 2.732 4.400 4.432
angles: 90.00 90.00 90.00
Atoms (fractional coordinates):
Li 0.000 0.000 0.000
Zn 0.500 0.500 0.880
Ir 0.000 0.500 0.377
Ir 0.500 0.000 0.501

Total energy (eV per atom): -5.990
ΔE_f (meV per atom): -191
DOS at the Fermi energy (states/eV/f.u.): 1.99
Density (g/cm3): 14.24

6.
DFT (GGA-PBEsol) results for AgTe3I after structural relaxation.

abc: 16.055 4.633 8.719
angles: 90.00 90.00 90.00
Atoms (fractional coordinates):
Ag 0.250 0.206 0.250
Ag 0.250 0.794 0.750
Ag 0.750 0.206 0.250
Ag 0.750 0.794 0.750
Te 0.000 0.134 0.211
Te 0.000 0.866 0.789
Te 0.127 0.151 0.639
Te 0.127 0.849 0.361
Te 0.373 0.151 0.861
Te 0.373 0.849 0.139
Te 0.500 0.134 0.289
Te 0.500 0.866 0.711
Te 0.627 0.151 0.861
Te 0.627 0.849 0.139
Te 0.873 0.151 0.639
Te 0.873 0.849 0.361
I 0.172 0.500 0.000
I 0.328 0.500 0.500
I 0.672 0.500 0.500
I 0.828 0.500 0.000

Total energy (eV per atom): -3.174
Formation energy without anion corrections (eV/atom): -0.04
Density (g/cm3): 6.32

7.
DFT (GGA-PBEsol) results for V2ZnO4 after structural relaxation.

abc: 5.979 5.979 5.979
angles: 58.55 58.55 58.55
Atoms (fractional coordinates):
V 0.000 0.000 0.000
V 0.135 0.623 0.623
V 0.623 0.135 0.623
V 0.623 0.623 0.135
Zn 0.248 0.248 0.248
Zn 0.629 0.629 0.629
O 0.384 0.384 0.384
O 0.385 0.385 0.846
O 0.385 0.846 0.385
O 0.391 0.882 0.882
O 0.846 0.385 0.385
O 0.870 0.870 0.870
O 0.882 0.391 0.882
O 0.882 0.882 0.391

Total energy (eV per atom): -7.949
Formation energy without anion corrections (eV/atom): -1.97
Offset from the most stable computed form (eV per atom): 0.0755
DOS at the Fermi energy (states/eV/f.u.): 3.39
Density (g/cm3): 5.26

8.
DFT (GGA-PBEsol) results for LiZn3Ni after structural relaxation.

abc: 4.138 4.138 4.138
angles: 90.00 90.00 90.00
Atoms (fractional coordinates):
Li 0.000 0.000 0.000
Zn 0.000 0.000 0.500
Zn 0.000 0.500 0.000
Zn 0.500 0.000 0.000
Ni 0.500 0.500 0.500

Total energy (eV per atom): -1.851
ΔE_f (meV per atom): 723
DOS at the Fermi energy (states/eV/f.u.): 2.91
Density (g/cm3): 6.14

9.
DFT (GGA-PBEsol) results for ScCu2GeH after structural relaxation.

abc: 4.627 4.627 3.390
angles: 90.00 90.00 90.00
Atoms (fractional coordinates):
Sc 0.000 0.000 0.000
Cu 0.000 0.500 0.500
Cu 0.500 0.000 0.500
Ge 0.500 0.500 0.500
H 0.500 0.500 0.000

Total energy (eV per atom): -4.447
DOS at the Fermi energy (states/eV/f.u.): 3.64
Density (g/cm3): 5.62

10.
DFT (GGA-PBEsol) results for Sr2GdRuO6 after structural relaxation.

abc: 5.741 5.741 5.852
angles: 119.47 119.47 60.37
Atoms (fractional coordinates):
Sr 0.246 0.246 0.232
Sr 0.754 0.754 0.768
Gd 0.000 0.000 0.500
Ru 0.500 0.500 0.000
O 0.215 0.688 0.181
O 0.270 0.270 0.684
O 0.312 0.785 0.819
O 0.688 0.215 0.181
O 0.730 0.730 0.316
O 0.785 0.312 0.819

Total energy (eV per atom): -8.426
Formation energy without anion corrections (eV/atom): -2.45
Offset from the most stable computed form (eV per atom): 0.0068
DOS at the Fermi energy (states/eV/f.u.): 1.91
Density (g/cm3): 6.38

11.
DFT (GGA-PBEsol) results for RbBaN2 after structural relaxation.

abc: 4.472 4.472 22.660
angles: 90.00 90.00 120.00
Atoms (fractional coordinates):
Rb 0.000 0.000 0.000
Rb 0.333 0.667 0.667
Rb 0.667 0.333 0.333
Ba 0.000 0.000 0.500
Ba 0.333 0.667 0.167
Ba 0.667 0.333 0.833
N 0.000 0.000 0.407
N 0.000 0.000 0.593
N 0.333 0.667 0.074
N 0.333 0.667 0.259
N 0.667 0.333 0.741
N 0.667 0.333 0.926

Total energy (eV per atom): -3.819
Formation energy without anion corrections (eV/atom): 1.24
DOS at the Fermi energy (states/eV/f.u.): 3.12
Density (g/cm3): 3.18

12.
DFT (GGA-PBEsol) results for TlBPd2 after structural relaxation.

abc: 6.699 6.699 5.505
angles: 90.00 90.00 90.00
Atoms (fractional coordinates):
Tl 0.000 0.000 0.000
Tl 0.000 0.500 0.250
Tl 0.500 0.000 0.750
Tl 0.500 0.500 0.500
B 0.000 0.000 0.500
B 0.000 0.500 0.750
B 0.500 0.000 0.250
B 0.500 0.500 0.000
Pd 0.148 0.250 0.625
Pd 0.250 0.648 0.875
Pd 0.250 0.852 0.375
Pd 0.352 0.250 0.125
Pd 0.648 0.750 0.125
Pd 0.750 0.148 0.375
Pd 0.750 0.352 0.875
Pd 0.852 0.750 0.625

Total energy (eV per atom): -5.385
ΔE_f (meV per atom): 6
DOS at the Fermi energy (states/eV/f.u.): 1.20
Density (g/cm3): 11.51

13.
DFT (GGA-PBEsol) results for LaZr3Cd after structural relaxation.

abc: 5.043 5.043 5.043
angles: 90.00 90.00 90.00
Atoms (fractional coordinates):
La 0.000 0.000 0.000
Zr 0.000 0.000 0.500
Zr 0.000 0.500 0.000
Zr 0.500 0.000 0.000
Cd 0.500 0.500 0.500

Total energy (eV per atom): -5.650
ΔE_f (meV per atom): 1113
DOS at the Fermi energy (states/eV/f.u.): 8.15
Density (g/cm3): 6.80

14.
DFT (GGA-PBEsol) results for ScMn2Si after structural relaxation.

abc: 2.787 2.787 6.728
angles: 90.00 90.00 90.00
Atoms (fractional coordinates):
Sc 0.000 0.000 0.000
Mn 0.000 0.000 0.517
Mn 0.500 0.500 0.709
Si 0.500 0.500 0.311

Total energy (eV per atom): -8.212
Formation energy without anion corrections (eV/atom): -0.24
DOS at the Fermi energy (states/eV/f.u.): 3.05
Density (g/cm3): 5.81

15.
DFT (GGA-PBEsol) results for AlVFe2 after structural relaxation.

abc: 2.825 2.825 5.640
angles: 90.00 90.00 90.00
Atoms (fractional coordinates):
Al 0.000 0.000 0.000
V 0.000 0.000 0.500
Fe 0.500 0.500 0.260
Fe 0.500 0.500 0.740

Total energy (eV per atom): -8.330
ΔE_f (meV per atom): -417
DOS at the Fermi energy (states/eV/f.u.): 0.85
Density (g/cm3): 7.00

16.
DFT (GGA-PBEsol) results for Ca2TaW after structural relaxation.

abc: 6.920 6.920 6.920
angles: 90.00 90.00 90.00
Atoms (fractional coordinates):
Ca 0.000 0.000 0.000
Ca 0.000 0.500 0.500
Ca 0.250 0.250 0.250
Ca 0.250 0.750 0.750
Ca 0.500 0.000 0.500
Ca 0.500 0.500 0.000
Ca 0.750 0.250 0.750
Ca 0.750 0.750 0.250
Ta 0.000 0.000 0.500
Ta 0.000 0.500 0.000
Ta 0.500 0.000 0.000
Ta 0.500 0.500 0.500
W 0.250 0.250 0.750
W 0.250 0.750 0.250
W 0.750 0.250 0.250
W 0.750 0.750 0.750

Total energy (eV per atom): -6.767
ΔE_f (meV per atom): 889
Offset from the most stable computed form (eV per atom): 0.2674
DOS at the Fermi energy (states/eV/f.u.): 4.05
Density (g/cm3): 8.92

17.
DFT (GGA-PBEsol) results for Cs2KFeC6N6 after structural relaxation.

abc: 7.628 8.065 13.309
angles: 90.00 124.39 90.00
Atoms (fractional coordinates):
Cs 0.224 0.070 0.248
Cs 0.224 0.430 0.748
Cs 0.776 0.570 0.252
Cs 0.776 0.930 0.752
K 0.000 0.000 0.500
K 0.000 0.500 0.000
Fe 0.500 0.000 0.000
Fe 0.500 0.500 0.500
C 0.266 0.127 0.966
C 0.266 0.373 0.466
C 0.332 0.693 0.456
C 0.332 0.807 0.956
C 0.414 0.025 0.838
C 0.414 0.475 0.338
C 0.586 0.525 0.662
C 0.586 0.975 0.162
C 0.668 0.193 0.044
C 0.668 0.307 0.544
C 0.734 0.627 0.534
C 0.734 0.873 0.034
N 0.117 0.205 0.943
N 0.117 0.295 0.443
N 0.225 0.688 0.927
N 0.225 0.812 0.427
N 0.362 0.044 0.737
N 0.362 0.456 0.237
N 0.638 0.544 0.763
N 0.638 0.956 0.263
N 0.775 0.188 0.573
N 0.775 0.312 0.073
N 0.883 0.705 0.557
N 0.883 0.795 0.057

Total energy (eV per atom): -7.685
Formation energy without anion corrections (eV/atom): -0.12
DOS at the Fermi energy (states/eV/f.u.): 10.82
Density (g/cm3): 2.54

18.
DFT (GGA-PBEsol) results for LiTe2Se after structural relaxation.

abc: 5.797 5.797 5.932
angles: 90.00 90.00 90.00
Atoms (fractional coordinates):
Li 0.000 0.000 0.000
Li 0.500 0.500 0.500
Te 0.000 0.500 0.000
Te 0.000 0.500 0.500
Te 0.500 0.000 0.000
Te 0.500 0.000 0.500
Se 0.000 0.000 0.500
Se 0.500 0.500 0.000

Total energy (eV per atom): -3.628
Formation energy without anion corrections (eV/atom): -0.41
DOS at the Fermi energy (states/eV/f.u.): 1.17
Density (g/cm3): 5.68

19.
DFT (GGA-PBEsol) results for Zr2AlZn after structural relaxation.

abc: 4.272 4.272 7.984
angles: 90.00 90.00 90.00
Atoms (fractional coordinates):
Zr 0.000 0.500 0.250
Zr 0.000 0.500 0.750
Zr 0.500 0.000 0.250
Zr 0.500 0.000 0.750
Al 0.000 0.000 0.000
Al 0.500 0.500 0.500
Zn 0.000 0.000 0.500
Zn 0.500 0.500 0.000

Total energy (eV per atom): -6.323
ΔE_f (meV per atom): -360
DOS at the Fermi energy (states/eV/f.u.): 2.96
Density (g/cm3): 6.26

20.
DFT (GGA-PBEsol) results for MoPt3 after structural relaxation.

abc: 2.750 3.939 5.499
angles: 90.00 90.00 90.00
Atoms (fractional coordinates):
Mo 0.000 0.000 0.000
Pt 0.000 0.000 0.500
Pt 0.500 0.500 0.242
Pt 0.500 0.500 0.758

Total energy (eV per atom): -8.447
ΔE_f (meV per atom): -282
DOS at the Fermi energy (states/eV/f.u.): 2.58
Density (g/cm3): 18.99